Ag3Hg | SCAN | PBEsol geometry

Calculated values
The value obtained for the total magnetic moment is 0.00 μB per formula unit. The value obtained for the formation energy is 0.0447 eV per atom. As for the space group: No. 225. The value obtained for the raw total energy is -40.522 eV per atom.

Unit cell a=4.6272 b=4.6272 c=4.6272 alpha=60.00 beta=60.00 gamma=60.00
Element x y z (fractional)
Ag1 0.0000 0.0000 0.0000
Ag2 0.2500 0.2500 0.2500
Ag3 0.7500 0.7500 0.7500
Hg1 0.5000 0.5000 0.5000